Below is Ba2ZnCoAs2O after structural relaxation, with properties calculated at the PBE with a Hubbard U level.

a = 12.2280 Å, b = 4.1660 Å, c = 7.5276 Å
α = 90.00°, β = 122.63°, γ = 90.00°
With the nearest neighbours (Å) after each atom.
Space group Cm (No. 8)
Inequivalent atoms, fractional coordinates:
Ba 0.0000 0.0000 0.0000 (multiplicity 2)  2 O 2.86
Ba 0.0960 0.0000 0.5806 (multiplicity 2)  2 O 2.82
Zn 0.3575 0.0000 0.2184 (multiplicity 2)  1 O 2.13
Co 0.2365 0.5000 0.3699 (multiplicity 2)  1 O 2.00
As 0.2386 0.5000 0.0251 (multiplicity 2)  2 Zn 2.51, 1 Co 2.61
As 0.3592 0.0000 0.5637 (multiplicity 2)  2 Co 2.52, 1 Zn 2.59
O 0.0529 0.5000 0.2965 (multiplicity 2)  1 Co 2.00, 1 Zn 2.13

VASP energy: -4.540 eV/atom